Record 1
La7Pr2Sc2 | PBE | relaxed

Unit cell a=8.1029 b=8.1029 c=6.2247 alpha=104.69 beta=104.69 gamma=92.89
Last column: nearest neighbours and their distance in Å.
Element x y z (fractional)
La 0.0000 0.0000 0.0000  4 La 3.47, 2 Pr 3.51
La 0.0639 0.5730 0.8137  2 La 3.22-3.47, 2 Sc 3.30-3.39, 1 Pr 3.34
La 0.4178 0.4178 0.2035  4 La 3.46-3.75, 2 Sc 3.69, 3 Pr 3.71-3.83
La 0.4270 0.9361 0.1863  2 La 3.22-3.47, 2 Sc 3.30-3.39, 1 Pr 3.34
La 0.5730 0.0639 0.8137  2 La 3.22-3.47, 2 Sc 3.30-3.39, 1 Pr 3.34
La 0.5822 0.5822 0.7965  4 La 3.46-3.75, 2 Sc 3.69, 3 Pr 3.71-3.83
La 0.9361 0.4270 0.1863  2 La 3.22-3.47, 2 Sc 3.30-3.39, 1 Pr 3.34
Pr 0.2140 0.2140 0.5787  6 La 3.34-3.71, 2 Sc 3.45
Pr 0.7860 0.7860 0.4213  6 La 3.34-3.71, 2 Sc 3.45
Sc 0.2228 0.7772 0.5000  6 La 3.30-3.69, 2 Pr 3.45
Sc 0.7772 0.2228 0.5000  6 La 3.30-3.69, 2 Pr 3.45

Size of the total moment   0.0 Bohr magnetons per cell
Mass density   5.9 g cm⁻³

***

Record 2
Ac2PrSm3As6 | PBE | relaxed

Unit cell a=9.7165 b=9.7165 c=8.6975 alpha=102.98 beta=102.98 gamma=25.84
Last column: nearest neighbours and their distance in Å.
Element x y z (fractional)
Ac 0.1656 0.1656 0.3317  6 As 3.13-3.17
Ac 0.8344 0.8344 0.6683  6 As 3.13-3.17
Pr 0.5000 0.5000 0.0000  6 As 3.09
Sm 0.1664 0.1664 0.8348  6 As 2.99-3.06
Sm 0.5000 0.5000 0.5000  6 As 3.00-3.06
Sm 0.8336 0.8336 0.1652  6 As 2.99-3.06
As 0.0041 0.0041 0.7490  3 Sm 2.99-3.06, 2 Pr 3.09, 1 Ac 3.13
As 0.3326 0.3326 0.9279  3 Sm 2.99-3.06, 1 Pr 3.09, 2 Ac 3.14
As 0.3373 0.3373 0.4065  3 Sm 3.00-3.01, 3 Ac 3.16-3.17
As 0.6627 0.6627 0.5935  3 Sm 3.00-3.01, 3 Ac 3.16-3.17
As 0.6674 0.6674 0.0721  3 Sm 2.99-3.06, 1 Pr 3.09, 2 Ac 3.14
As 0.9959 0.9959 0.2510  3 Sm 2.99-3.06, 2 Pr 3.09, 1 Ac 3.13

Size of the total moment   0.0 Bohr magnetons per cell
Mass density   7.1 g cm⁻³

***

Record 3
BP3 | PBE | relaxed

Unit cell a=6.8704 b=6.8704 c=6.8704 alpha=27.67 beta=27.67 gamma=27.67
Last column: nearest neighbours and their distance in Å.
Element x y z (fractional)
B 0.0000 0.0000 0.0000  4 P 1.95-1.99
P 0.0987 0.0987 0.0987  1 B 1.95
P 0.3031 0.3031 0.3031  3 B 1.99
P 0.8248 0.8248 0.8248  3 P 2.23

Size of the total moment   0.0 Bohr magnetons per cell
Mass density   2.8 g cm⁻³

***

Record 4
Dy6Cd3Pt | PBE | relaxed

Unit cell a=9.0985 b=5.2732 c=11.5684 alpha=90.00 beta=109.22 gamma=90.00
Last column: nearest neighbours and their distance in Å.
Element x y z (fractional)
Dy 0.0317 0.2500 0.4152  7 Cd 3.08-3.40, 3 Dy 3.41-3.45
Dy 0.1740 0.7500 0.1677  1 Pt 2.85, 3 Cd 3.11-3.16
Dy 0.2721 0.2500 0.0027  3 Pt 3.09-3.15, 2 Cd 3.16-3.41, 1 Dy 3.30
Dy 0.3554 0.7500 0.8316  3 Pt 2.93-3.14, 1 Cd 3.25
Dy 0.3678 0.2500 0.3459  4 Cd 3.25-3.58, 6 Dy 3.33-3.45
Dy 0.3980 0.2500 0.6411  1 Pt 2.86, 1 Cd 3.15
Dy 0.6020 0.7500 0.3589  1 Pt 2.86, 1 Cd 3.15
Dy 0.6322 0.7500 0.6541  4 Cd 3.25-3.58, 6 Dy 3.33-3.45
Dy 0.6446 0.2500 0.1684  3 Pt 2.93-3.14, 1 Cd 3.25
Dy 0.7279 0.7500 0.9973  3 Pt 3.09-3.15, 2 Cd 3.16-3.41, 1 Dy 3.30
Dy 0.8260 0.2500 0.8323  1 Pt 2.85, 3 Cd 3.11-3.16
Dy 0.9683 0.7500 0.5848  7 Cd 3.08-3.40, 3 Dy 3.41-3.45
Cd 0.0179 0.7500 0.8712  6 Dy 3.11-3.41, 2 Cd 3.38
Cd 0.0959 0.2500 0.7173  6 Dy 3.08-3.35, 3 Cd 3.36-3.38
Cd 0.2723 0.7500 0.4747  9 Dy 3.24-3.40, 1 Cd 3.36
Cd 0.7277 0.2500 0.5253  9 Dy 3.24-3.40, 1 Cd 3.36
Cd 0.9041 0.7500 0.2827  6 Dy 3.08-3.35, 3 Cd 3.36-3.38
Cd 0.9821 0.2500 0.1288  6 Dy 3.11-3.41, 2 Cd 3.38
Pt 0.4474 0.7500 0.0995  8 Dy 2.85-3.15
Pt 0.5526 0.2500 0.9005  8 Dy 2.85-3.15

Size of the total moment   0.0 Bohr magnetons per cell
Mass density   9.6 g cm⁻³

***

Number 1: uncorrected energy -55.3 eV/cell. Number 2: uncorrected energy -72.9 eV/cell. Number 3: uncorrected energy -22.8 eV/cell. Number 4: uncorrected energy -81.0 eV/cell.